Entry from Alexandria: a geometry-optimized SrRuO2 structure (PBEsol).

a b c (Å): 3.4154 3.4154 6.2379
angles (deg): 74.11 74.11 60.00
Fractional positions:
Ru 0.5000 0.5000 0.5000
O 0.8712 0.8712 0.3864
O 0.1288 0.1288 0.6136
Sr 0.0000 0.0000 0.0000

space group = R-3m (166)
crystal system = trigonal
energy relative to the elements, uncorrected = -86 kJ per mole of atoms



Entry from Alexandria: a geometry-optimized ScBeCd2 structure (PBEsol).

a b c (Å): 4.6177 4.6177 4.6177
angles (deg): 60.00 60.00 60.00
Fractional positions:
Sc 0.5000 0.5000 0.5000
Be 0.0000 0.0000 0.0000
Cd 0.2500 0.2500 0.2500
Cd 0.7500 0.7500 0.7500

space group = Fm-3m (225)
crystal system = cubic
distance to the lowest polymorph of the same formula = 0.0 meV/atom
energy of formation from the pure elements = -0.0052 eV/atom



Entry from Alexandria: a geometry-optimized Co5Br structure (PBEsol).

a b c (Å): 2.7279 4.7819 5.9148
angles (deg): 106.39 90.00 106.57
Fractional positions:
Br 0.9891 0.9783 0.9997
Co 0.3329 0.6659 0.6499
Co 0.6756 0.3512 0.3460
Co 0.6242 0.2485 0.7069
Co 0.9489 0.8979 0.3986
Co 0.2625 0.5249 0.0656

space group = Cm (8)
crystal system = monoclinic
energy relative to the elements, uncorrected = 45 kJ per mole of atoms



Going through the records in order, we get volume values of 60; 70; 71 Å³/cell.